Compound: CaPmDyRu
Source: Alexandria
Functional: PBE
Structure: optimized geometry

Computed properties:
DFT formation energy: 83.3 meV per atom
Mass density: 7.5 g/cm³

```
CaPmDyRu
1.0
0.000 3.683 3.683
3.683 0.000 3.683
3.683 3.683 0.000
Ca Pm Dy Ru
1 1 1 1
direct
0.000 0.000 0.000
0.250 0.250 0.250
0.750 0.750 0.750
0.500 0.500 0.500
```